# 1
## Er4RhAu (GGA-PBE)

Data for crystalline Er4RhAu at its relaxed geometry.

Formation energy (kJ per mole of atoms): -52.7
Crystal system: monoclinic

a b c (Å): 4.853 4.854 6.842
angles (deg): 89.91 89.96 90.00
Positions (direct):
Er: 0.501 0.997 0.256
Er: 0.502 0.998 0.740
Er: 0.002 0.498 0.740
Er: 0.001 0.497 0.256
Rh: 0.001 0.997 0.498
Au: 0.501 0.497 0.998



# 2
## LiGaTc2 (GGA-PBE)

Data for crystalline LiGaTc2 at its relaxed geometry.

Formation energy (kJ per mole of atoms): 49.3
Crystal system: tetragonal

a b c (Å): 7.137 7.137 5.609
angles (deg): 50.49 50.49 90.00
Positions (direct):
Tc: 0.654 0.125 0.250
Tc: 0.096 0.625 0.250
Tc: 0.375 0.346 0.750
Tc: 0.875 0.904 0.750
Ga: 0.000 0.000 0.000
Ga: 0.750 0.250 0.500
Li: 0.500 0.500 0.000
Li: 0.250 0.750 0.500



# 3
## Tl7InHg5 (GGA-PBE)

Data for crystalline Tl7InHg5 at its relaxed geometry.

Formation energy (kJ per mole of atoms): 1.5
Crystal system: monoclinic

a b c (Å): 5.643 8.954 8.954
angles (deg): 93.05 69.33 69.33
Positions (direct):
Tl: 0.672 0.390 0.390
Tl: 0.339 0.692 0.692
Tl: 0.017 0.411 0.660
Tl: 0.017 0.660 0.411
Tl: 0.372 0.206 0.206
Tl: 0.635 0.737 0.176
Tl: 0.635 0.176 0.737
In: 0.038 0.991 0.991
Hg: 0.342 0.010 0.539
Hg: 0.956 0.003 0.342
Hg: 0.342 0.539 0.010
Hg: 0.956 0.342 0.003
Hg: 0.679 0.842 0.842



# 4
## TlCu2Mo (GGA-PBE)

Data for crystalline TlCu2Mo at its relaxed geometry.

Formation energy (kJ per mole of atoms): 58.6
Crystal system: cubic

a b c (Å): 4.478 4.478 4.478
angles (deg): 60.00 60.00 60.00
Positions (direct):
Tl: 0.500 0.500 0.500
Mo: 0.000 0.000 0.000
Cu: 0.250 0.250 0.250
Cu: 0.750 0.750 0.750



# 5
## ScCr2Sb (GGA-PBE)

Data for crystalline ScCr2Sb at its relaxed geometry.

Formation energy without anion corrections (kJ/mol of atoms): 28.6
Crystal system: trigonal

a b c (Å): 8.661 8.661 8.661
angles (deg): 20.92 20.92 20.92
Positions (direct):
Cr: 0.989 0.989 0.989
Cr: 0.263 0.263 0.263
Sb: 0.508 0.508 0.508
Sc: 0.740 0.740 0.740



# 6
## P4C (GGA-PBE)

Data for crystalline P4C at its relaxed geometry.

Formation energy (kJ per mole of atoms): 107.3
Crystal system: cubic

a b c (Å): 4.420 4.420 4.420
angles (deg): 109.47 109.47 109.47
Positions (direct):
P: 0.000 0.500 0.000
P: 0.500 0.500 0.500
P: 0.500 0.000 0.000
P: 0.000 0.000 0.500
C: 0.000 0.000 0.000



# 7
## Rb2OsPbCl6 (GGA-PBE)

Data for crystalline Rb2OsPbCl6 at its relaxed geometry.

Formation energy without anion corrections (kJ/mol of atoms): -99.3
Crystal system: cubic

a b c (Å): 7.433 7.433 7.432
angles (deg): 60.00 60.00 90.00
Positions (direct):
Pb: 0.000 0.000 0.000
Os: 0.500 0.500 0.000
Rb: 0.750 0.250 0.500
Rb: 0.250 0.750 0.500
Cl: 0.271 0.271 0.459
Cl: 0.729 0.729 0.541
Cl: 0.271 0.271 0.000
Cl: 0.729 0.729 0.000
Cl: 0.729 0.271 0.000
Cl: 0.271 0.729 0.000



# 8
## ScPaAlRu (GGA-PBE)

Data for crystalline ScPaAlRu at its relaxed geometry.

Formation energy (kJ per mole of atoms): -35.1
Crystal system: cubic

a b c (Å): 4.722 4.722 4.722
angles (deg): 60.00 60.00 60.00
Positions (direct):
Sc: 0.250 0.250 0.250
Ru: 0.750 0.750 0.750
Pa: 0.500 0.500 0.500
Al: 0.000 0.000 0.000